Compound: TaB2O2
Source: the Alexandria database
Functional: PBE
Structure: relaxed

Results
For the density of states at the Fermi level, the calculation gives 2.838 states/eV/cell. The value obtained for the energy above the lowest structure with this stoichiometry is 107.42 kJ per mole of atoms. For the total energy, the calculation gives -67.26 eV per cell. Its energy relative to the elements, uncorrected is 0.2985 eV per atom.

Unit cell a=3.433 b=3.433 c=7.225 alpha=90.00 beta=90.00 gamma=90.00
Space group I4/mmm (No. 139)
One atom of each set of equivalent atoms:
Ta1 0.000 0.000 0.000 [2 per cell]
B1 0.000 0.000 0.393 [4 per cell]
O1 0.000 0.500 0.250 [4 per cell]